Computed, not measured: a relaxed LaSi3C crystal at the GGA-PBE level of DFT.

a = 5.6190 Å, b = 5.6190 Å, c = 5.6190 Å
α = 90.00°, β = 90.00°, γ = 90.00°
Fractional positions:
La 0.0000 0.0000 0.0000
Si 0.0000 0.0000 0.5000
Si 0.0000 0.5000 0.0000
Si 0.5000 0.0000 0.0000
C 0.5000 0.5000 0.5000

Summary:
M_tot ... 1.26 μB per formula unit
Polymorph energy (0 for the lowest one) ... 2160 meV per atom
Total energy ... -16.88 eV/cell
Symmetry ... Pm-3m, No. 221
Density of states at the Fermi level ... 6.79 states/eV/cell